[1]
The following is a DFT calculation (PBE-GGA) of a relaxed Ba3LiEr3Te8 crystal.

Unit cell a=9.0580 b=9.0580 c=23.5609 alpha=90.00 beta=90.00 gamma=120.00
Space group R-3m (No. 166, hexagonal axes)
Symmetry-distinct sites (fractional):
Ba 0.0000 0.5000 0.0000
Li 0.0000 0.0000 0.5000
Er 0.0000 0.5000 0.5000
Te 0.0000 0.0000 0.2381
Te 0.0085 0.5042 0.7625

Values from the calculation:
DOS(E_F): 0.004 states/eV/atom
Total energy: -4.5258 eV per atom
Crystal system: trigonal

[2]
The following is a DFT calculation (PBE-GGA) of a relaxed BaLiErTe3 crystal.

Unit cell a=4.536 b=15.030 c=11.438 alpha=90.00 beta=90.00 gamma=90.00
Space group Cmcm (No. 63)
Symmetry-distinct sites (fractional):
Ba 0.000 0.249 0.250
Li 0.000 0.472 0.750
Er 0.000 0.000 0.000
Te 0.000 0.073 0.750
Te 0.000 0.365 0.555

Values from the calculation:
Total energy: -4.4333 eV per atom
Crystal system: orthorhombic

[3]
The following is a DFT calculation (PBE-GGA) of a relaxed Ba2Li2ErTl5 crystal.

Unit cell a=12.038 b=12.038 c=4.001 alpha=90.00 beta=90.00 gamma=90.00
Space group P4/mbm (No. 127)
Symmetry-distinct sites (fractional):
Ba 0.179 0.321 0.000
Li 0.121 0.621 0.000
Er 0.000 0.000 0.000
Tl 0.000 0.500 0.500
Tl 0.059 0.795 0.500

Values from the calculation:
E_form: -3.16 eV/f.u.
DOS(E_F): 0.452 states/eV/atom
Total energy: -2.7231 eV per atom
Crystal system: tetragonal

[4]
The following is a DFT calculation (PBE-GGA) of a relaxed BaLiErTl crystal.

Unit cell a=8.008 b=8.008 c=8.008 alpha=90.00 beta=90.00 gamma=90.00
Space group F-43m (No. 216)
Symmetry-distinct sites (fractional):
Ba 0.000 0.000 0.000
Li 0.250 0.250 0.750
Er 0.000 0.000 0.500
Tl 0.250 0.250 0.250

Values from the calculation:
E_form: -0.23 eV/f.u.
DOS(E_F): 1.083 states/eV/atom
Total energy: -2.7477 eV per atom
Crystal system: cubic

[5]
The following is a DFT calculation (PBE-GGA) of a relaxed BaLi2ErTl4 crystal.

Unit cell a=4.9180 b=4.9180 c=32.6666 alpha=90.00 beta=90.00 gamma=120.00
Space group R-3m (No. 166, hexagonal axes)
Symmetry-distinct sites (fractional):
Ba 0.0000 0.0000 0.0000
Li 0.0000 0.0000 0.2270
Er 0.0000 0.0000 0.5000
Tl 0.0000 0.0000 0.1224
Tl 0.0000 0.0000 0.4014

Values from the calculation:
E_form: -2.63 eV/f.u.
DOS(E_F): 0.313 states/eV/atom
Total energy: -2.8015 eV per atom
Crystal system: trigonal

[6]
The following is a DFT calculation (PBE-GGA) of a relaxed BaEr2Lu crystal.

Unit cell a=3.5585 b=3.5585 c=38.0442 alpha=90.00 beta=90.00 gamma=120.00
Space group R-3m (No. 166, hexagonal axes)
Symmetry-distinct sites (fractional):
Ba 0.0000 0.0000 0.0000
Er 0.0000 0.0000 0.0946
Lu 0.0000 0.0000 0.5000

Values from the calculation:
E_form: 0.97 eV/f.u.
DOS(E_F): 1.311 states/eV/atom
Total energy: -3.6506 eV per atom
Crystal system: trigonal